Computed, not measured: a relaxed CsHgN2 crystal at the PBE-GGA level of DFT.

It has space group R-3m (No. 166, hexagonal axes), with a = 3.6785 Å, b = 3.6785 Å, c = 22.1081 Å, α = 90.00°, β = 90.00° and γ = 120.00°. The inequivalent atoms are Cs at (0.0000, 0.0000, 0.0000), Hg at (0.0000, 0.0000, 0.5000) and N at (0.0000, 0.0000, 0.1243).

For the total DFT energy (no corrections), the calculation gives -33.890 eV for the cell shown. The uncorrected formation energy is 1627.4 meV/atom.

Computed, not measured: a relaxed CsNbHg2N crystal at the PBE-GGA level of DFT.

It has space group P4/mmm (No. 123), with a = 6.394 Å, b = 6.394 Å, c = 4.270 Å, α = 90.00°, β = 90.00° and γ = 90.00°. The inequivalent atoms are Cs at (0.000, 0.000, 0.000), Nb at (0.500, 0.500, 0.500), Hg at (0.000, 0.500, 0.000) and N at (0.000, 0.000, 0.500).

For the total DFT energy (no corrections), the calculation gives -9.750 eV for the cell shown. The uncorrected formation energy is 2020.5 meV/atom.

Computed, not measured: a relaxed Cs2HgPdN crystal at the PBE-GGA level of DFT.

It has space group P4/mmm (No. 123), with a = 6.639 Å, b = 6.639 Å, c = 3.827 Å, α = 90.00°, β = 90.00° and γ = 90.00°. The inequivalent atoms are Cs at (0.000, 0.500, 0.000), Hg at (0.000, 0.000, 0.500), Pd at (0.500, 0.500, 0.500) and N at (0.500, 0.500, 0.000).

For the total DFT energy (no corrections), the calculation gives -15.401 eV for the cell shown. The uncorrected formation energy is 25.3 meV/atom.

Computed, not measured: a relaxed Cs2HgPtN crystal at the PBE-GGA level of DFT.

It has space group P4/mmm (No. 123), with a = 7.073 Å, b = 7.073 Å, c = 3.746 Å, α = 90.00°, β = 90.00° and γ = 90.00°. The inequivalent atoms are Cs at (0.000, 0.500, 0.000), Hg at (0.000, 0.000, 0.500), Pt at (0.500, 0.500, 0.000) and N at (0.500, 0.500, 0.500).

For the excess energy over the best structure of this formula in the dataset, the calculation gives 0.415 eV per formula unit. For the total DFT energy (no corrections), the calculation gives -16.724 eV for the cell shown. The uncorrected formation energy is -69.7 meV/atom.

Computed, not measured: a relaxed Cs2HgPtN crystal at the PBE-GGA level of DFT.

It has space group P4/mmm (No. 123), with a = 6.721 Å, b = 6.721 Å, c = 3.760 Å, α = 90.00°, β = 90.00° and γ = 90.00°. The inequivalent atoms are Cs at (0.000, 0.500, 0.000), Hg at (0.000, 0.000, 0.500), Pt at (0.500, 0.500, 0.500) and N at (0.500, 0.500, 0.000).

For the excess energy over the best structure of this formula in the dataset, the calculation gives 0.000 eV per formula unit. For the total DFT energy (no corrections), the calculation gives -17.138 eV for the cell shown. The uncorrected formation energy is -152.6 meV/atom.

Computed, not measured: a relaxed CsHgSe2N crystal at the PBE-GGA level of DFT.

It has space group P4/mmm (No. 123), with a = 5.539 Å, b = 5.539 Å, c = 4.743 Å, α = 90.00°, β = 90.00° and γ = 90.00°. The inequivalent atoms are Cs at (0.000, 0.000, 0.000), Hg at (0.500, 0.500, 0.500), Se at (0.000, 0.500, 0.500) and N at (0.500, 0.500, 0.000).

For the total DFT energy (no corrections), the calculation gives -13.129 eV for the cell shown. The uncorrected formation energy is 664.2 meV/atom.